VASP calculation (PBE) on a relaxed Ac4In5Sn2 crystal.

Summary:
Raw total energy: -43.43 eV per cell
Energy relative to the elements: -46 kJ/mol of atoms

Unit cell a=4.968 b=8.017 c=9.234 alpha=92.05 beta=90.00 gamma=90.00
Element x y z (fractional)
Ac1 0.500 0.779 0.130
Ac2 0.500 0.240 0.395
Ac3 0.500 0.221 0.870
Ac4 0.500 0.760 0.605
In1 0.000 0.537 0.335
In2 0.000 0.500 0.000
In3 0.000 0.866 0.878
In4 0.000 0.463 0.665
In5 0.000 0.134 0.122
Sn1 0.000 0.909 0.364
Sn2 0.000 0.091 0.636